[1]
Entry from Alexandria via LeMat-Bulk: an optimized crystal structure of KPt2Br (PBE).

Summary:
Energy above the lowest structure with this stoichiometry (eV per formula unit): 0.000
D(E_F) (states/eV/f.u.): 1.77

a = 2.795 Å, b = 4.357 Å, c = 8.628 Å
α = 90.00°, β = 90.00°, γ = 90.00°
Element x y z (fractional)
1 Pt 0.500 0.500 0.125
2 Pt 0.000 0.000 0.071
3 Br 0.000 0.000 0.536
4 K 0.500 0.500 0.767

=====

[2]
Entry from Alexandria via LeMat-Bulk: an optimized crystal structure of LaSb2AsI (PBE).

Summary:
Energy above the lowest structure with this stoichiometry (eV per formula unit): 2.917
D(E_F) (states/eV/f.u.): 4.30

a = 6.279 Å, b = 6.279 Å, c = 6.140 Å
α = 90.00°, β = 90.00°, γ = 90.00°
Last column: magnetic moment on the atom in μB.
Element x y z (fractional)
1 Sb 0.500 0.000 0.000  -0.31
2 Sb 0.000 0.500 0.000  -0.31
3 As 0.500 0.500 0.500  1.01
4 La 0.000 0.000 0.000  -0.04
5 I 0.000 0.000 0.500  -0.05

=====

[3]
Entry from Alexandria via LeMat-Bulk: an optimized crystal structure of V8Mo (PBE).

Summary:
D(E_F) (states/eV/f.u.): 16.02
Calculated formation energy (eV/atom): -0.03

a = 3.018 Å, b = 6.573 Å, c = 6.573 Å
α = 86.98°, β = 76.73°, γ = 76.73°
Element x y z (fractional)
1 V 0.331 0.337 0.000
2 V 0.000 0.338 0.662
3 V 0.338 0.662 0.662
4 V 0.669 0.000 0.663
5 V 0.669 0.663 0.000
6 V 0.000 0.662 0.338
7 V 0.662 0.338 0.338
8 V 0.331 0.000 0.337
9 Mo 0.000 0.000 0.000

=====

[4]
Entry from Alexandria via LeMat-Bulk: an optimized crystal structure of RbCd3Pb (PBE).

Summary:
Energy above the lowest structure with this stoichiometry (eV per formula unit): 0.000
D(E_F) (states/eV/f.u.): 2.19
Calculated formation energy (eV/atom): -0.06

a = 7.101 Å, b = 7.143 Å, c = 7.365 Å
α = 90.01°, β = 90.01°, γ = 61.13°
Element x y z (fractional)
1 Cd 0.978 0.427 0.456
2 Cd 0.476 0.929 0.445
3 Cd 0.846 0.805 0.700
4 Cd 0.477 0.928 0.956
5 Cd 0.347 0.306 0.200
6 Cd 0.977 0.428 0.945
7 Pb 0.601 0.544 0.201
8 Pb 0.101 0.043 0.701
9 Rb 0.477 0.427 0.701
10 Rb 0.977 0.927 0.201

=====

[5]
Entry from Alexandria via LeMat-Bulk: an optimized crystal structure of NpP2BrO8 (PBE).

Summary:
E_tot (eV/f.u.): -90.14
D(E_F) (states/eV/f.u.): 6.04

a = 5.579 Å, b = 5.579 Å, c = 8.833 Å
α = 104.56°, β = 104.56°, γ = 60.35°
Last column: magnetic moment on the atom in μB.
Element x y z (fractional)
1 O 0.835 0.835 0.117  -0.04
2 O 0.158 0.605 0.848  -0.04
3 O 0.395 0.842 0.152  -0.04
4 O 0.781 0.781 0.386  -0.03
5 O 0.219 0.219 0.614  -0.03
6 O 0.842 0.395 0.152  -0.04
7 O 0.165 0.165 0.883  -0.04
8 O 0.605 0.158 0.848  -0.04
9 P 0.284 0.284 0.794  0.00
10 P 0.716 0.716 0.206  0.00
11 Np 0.000 0.000 0.000  2.29
12 Br 0.000 0.000 0.500  -0.02

=====

[6]
Entry from Alexandria via LeMat-Bulk: an optimized crystal structure of Pm2Tm2In7 (PBE).

Summary:
D(E_F) (states/eV/f.u.): 7.56
Calculated formation energy (eV/atom): 0.01

a = 6.792 Å, b = 7.802 Å, c = 6.792 Å
α = 90.00°, β = 103.90°, γ = 90.00°
Element x y z (fractional)
1 In 0.500 0.305 0.500
2 In 0.000 0.000 0.000
3 In 0.000 0.303 0.500
4 In 0.500 0.697 0.000
5 In 0.000 0.697 0.500
6 In 0.500 0.695 0.500
7 In 0.500 0.303 0.000
8 Tm 0.811 0.500 0.811
9 Tm 0.189 0.500 0.189
10 Pm 0.305 0.000 0.695
11 Pm 0.695 0.000 0.305

=====

[7]
Entry from Alexandria via LeMat-Bulk: an optimized crystal structure of InSbN3 (PBE).

Summary:
E_tot (eV/f.u.): -22.64
D(E_F) (states/eV/f.u.): 4.46

a = 4.201 Å, b = 4.201 Å, c = 4.201 Å
α = 90.00°, β = 90.00°, γ = 90.00°
Last column: magnetic moment on the atom in μB.
Element x y z (fractional)
1 N 0.500 0.000 0.000  0.66
2 N 0.000 0.000 0.500  0.57
3 N 0.000 0.500 0.000  0.75
4 Sb 0.500 0.500 0.500  -0.16
5 In 0.000 0.000 0.000  0.03

=====

[8]
Entry from Alexandria via LeMat-Bulk: an optimized crystal structure of PrCo4P2 (PBE).

Summary:
Energy above the lowest structure with this stoichiometry (eV per formula unit): 0.181
D(E_F) (states/eV/f.u.): 2.24
Calculated formation energy (eV/atom): -0.61

a = 3.844 Å, b = 3.844 Å, c = 7.957 Å
α = 76.02°, β = 76.02°, γ = 60.00°
Element x y z (fractional)
1 P 0.767 0.767 0.699
2 P 0.233 0.233 0.301
3 Pr 0.000 0.000 0.000
4 Co 0.137 0.137 0.588
5 Co 0.863 0.863 0.412
6 Co 0.425 0.425 0.726
7 Co 0.575 0.575 0.274

=====

[9]
Entry from Alexandria via LeMat-Bulk: an optimized crystal structure of AlMo2HRu (PBE).

Summary:
E_tot (eV/f.u.): -38.10
D(E_F) (states/eV/f.u.): 3.27

a = 3.848 Å, b = 3.848 Å, c = 4.239 Å
α = 90.00°, β = 90.00°, γ = 90.00°
Element x y z (fractional)
1 H 0.000 0.000 0.000
2 Al 0.500 0.500 0.500
3 Mo 0.500 0.000 0.000
4 Mo 0.000 0.500 0.000
5 Ru 0.000 0.000 0.500

=====

[10]
Entry from Alexandria via LeMat-Bulk: an optimized crystal structure of LaHg2BiSe (PBE).

Summary:
E_tot (eV/f.u.): -12.57
D(E_F) (states/eV/f.u.): 2.86

a = 6.330 Å, b = 5.520 Å, c = 6.330 Å
α = 90.00°, β = 90.00°, γ = 90.00°
Last column: magnetic moment on the atom in μB.
Element x y z (fractional)
1 La 0.000 0.000 0.000  -0.05
2 Bi 0.500 0.500 0.500  1.21
3 Se 0.000 0.500 0.000  0.08
4 Hg 0.500 0.000 0.000  0.01
5 Hg 0.000 0.000 0.500  0.03

=====

[11]
Entry from Alexandria via LeMat-Bulk: an optimized crystal structure of Hf2In2Hg (PBE).

Summary:
Energy above the lowest structure with this stoichiometry (eV per formula unit): 0.000
D(E_F) (states/eV/f.u.): 2.95
Calculated formation energy (eV/atom): 0.10

a = 8.473 Å, b = 8.473 Å, c = 3.330 Å
α = 90.00°, β = 90.00°, γ = 90.00°
Element x y z (fractional)
1 Hf 0.625 0.125 0.000
2 Hf 0.125 0.375 0.000
3 Hf 0.875 0.625 0.000
4 Hf 0.375 0.875 0.000
5 In 0.325 0.175 0.500
6 In 0.675 0.825 0.500
7 In 0.825 0.325 0.500
8 In 0.175 0.675 0.500
9 Hg 0.500 0.500 0.000
10 Hg 0.000 0.000 0.000

=====

[12]
Entry from Alexandria via LeMat-Bulk: an optimized crystal structure of MnNiBr2 (PBE).

Summary:
Energy above the lowest structure with this stoichiometry (eV per formula unit): 1.024
D(E_F) (states/eV/f.u.): 0.51

a = 5.655 Å, b = 5.655 Å, c = 7.046 Å
α = 66.34°, β = 66.34°, γ = 90.00°
Last column: magnetic moment on the atom in μB.
Element x y z (fractional)
1 Br 0.875 0.897 0.750  0.06
2 Br 0.375 0.353 0.750  0.06
3 Br 0.647 0.125 0.250  0.06
4 Br 0.103 0.625 0.250  0.06
5 Ni 0.750 0.250 0.500  0.51
6 Ni 0.000 0.000 0.000  0.51
7 Mn 0.500 0.500 0.000  4.06
8 Mn 0.250 0.750 0.500  4.05

=====

[13]
Entry from Alexandria via LeMat-Bulk: an optimized crystal structure of YIr2Rh2 (PBE).

Summary:
Energy above the lowest structure with this stoichiometry (eV per formula unit): 0.298
D(E_F) (states/eV/f.u.): 8.44
Calculated formation energy (eV/atom): -0.19

a = 7.651 Å, b = 7.651 Å, c = 2.863 Å
α = 90.00°, β = 90.00°, γ = 90.00°
Element x y z (fractional)
1 Rh 0.322 0.178 0.500
2 Rh 0.178 0.678 0.500
3 Rh 0.822 0.322 0.500
4 Rh 0.678 0.822 0.500
5 Ir 0.621 0.121 0.000
6 Ir 0.121 0.379 0.000
7 Ir 0.879 0.621 0.000
8 Ir 0.379 0.879 0.000
9 Y 0.000 0.000 0.000
10 Y 0.500 0.500 0.000

=====

[14]
Entry from Alexandria via LeMat-Bulk: an optimized crystal structure of CuNiTeS (PBE).

Summary:
E_tot (eV/f.u.): -17.17
D(E_F) (states/eV/f.u.): 2.61

a = 3.801 Å, b = 3.801 Å, c = 11.483 Å
α = 80.47°, β = 80.47°, γ = 60.00°
Element x y z (fractional)
1 Ni 0.365 0.365 0.904
2 Ni 0.635 0.635 0.096
3 Cu 0.083 0.083 0.751
4 Cu 0.917 0.917 0.249
5 Te 0.202 0.202 0.394
6 Te 0.798 0.798 0.606
7 S 0.704 0.704 0.889
8 S 0.296 0.296 0.111

=====

[15]
Entry from Alexandria via LeMat-Bulk: an optimized crystal structure of LiSmP (PBE).

Summary:
D(E_F) (states/eV/f.u.): 1.25
Calculated formation energy (eV/atom): -1.03

a = 4.060 Å, b = 4.060 Å, c = 6.969 Å
α = 90.00°, β = 90.00°, γ = 90.00°
Element x y z (fractional)
1 Li 0.250 0.250 0.000
2 Li 0.750 0.750 0.000
3 Sm 0.250 0.750 0.342
4 Sm 0.750 0.250 0.658
5 P 0.750 0.250 0.233
6 P 0.250 0.750 0.767

=====

[16]
Entry from Alexandria via LeMat-Bulk: an optimized crystal structure of Ac6Ni2OsBr3 (PBE).

Summary:
E_tot (eV/f.u.): -62.63
D(E_F) (states/eV/f.u.): 5.03

a = 7.473 Å, b = 7.473 Å, c = 8.646 Å
α = 98.28°, β = 98.28°, γ = 120.01°
Element x y z (fractional)
1 Ac 0.735 0.735 0.194
2 Ac 0.606 0.935 0.806
3 Ac 0.394 0.065 0.194
4 Ac 0.265 0.265 0.806
5 Ac 0.065 0.394 0.194
6 Ac 0.935 0.606 0.806
7 Br 0.165 0.835 0.500
8 Br 0.500 0.500 0.500
9 Br 0.835 0.165 0.500
10 Ni 0.667 0.333 0.000
11 Ni 0.333 0.667 0.000
12 Os 0.000 0.000 0.000

=====

[17]
Entry from Alexandria via LeMat-Bulk: an optimized crystal structure of Cd2Pb7 (PBE).

Summary:
D(E_F) (states/eV/f.u.): 6.18
Calculated formation energy (eV/atom): 0.04

a = 5.976 Å, b = 5.976 Å, c = 8.756 Å
α = 90.00°, β = 90.00°, γ = 120.00°
Element x y z (fractional)
1 Pb 0.334 0.000 0.677
2 Pb 0.000 0.334 0.677
3 Pb 0.666 0.000 0.323
4 Pb 0.666 0.666 0.677
5 Pb 0.334 0.334 0.323
6 Pb 0.000 0.666 0.323
7 Pb 0.000 0.000 0.000
8 Cd 0.333 0.667 0.000
9 Cd 0.667 0.333 0.000

=====

[18]
Entry from Alexandria via LeMat-Bulk: an optimized crystal structure of Mg3BiRu (PBE).

Summary:
Energy above the lowest structure with this stoichiometry (eV per formula unit): 0.000
D(E_F) (states/eV/f.u.): 5.84
Calculated formation energy (eV/atom): 0.32

a = 4.975 Å, b = 4.975 Å, c = 4.975 Å
α = 90.00°, β = 90.00°, γ = 90.00°
Element x y z (fractional)
1 Mg 0.000 0.500 0.000
2 Mg 0.000 0.000 0.500
3 Mg 0.500 0.000 0.000
4 Bi 0.500 0.500 0.500
5 Ru 0.000 0.000 0.000

=====

[19]
Entry from Alexandria via LeMat-Bulk: an optimized crystal structure of MgPb2Br (PBE).

Summary:
Energy above the lowest structure with this stoichiometry (eV per formula unit): 0.896
D(E_F) (states/eV/f.u.): 1.88

a = 6.147 Å, b = 6.525 Å, c = 3.552 Å
α = 78.47°, β = 79.46°, γ = 118.23°
Element x y z (fractional)
1 Mg 0.500 0.000 0.500
2 Pb 0.000 0.500 0.500
3 Pb 0.000 0.000 0.000
4 Br 0.500 0.500 0.000

=====

[20]
Entry from Alexandria via LeMat-Bulk: an optimized crystal structure of Zr2Tl (PBE).

Summary:
D(E_F) (states/eV/f.u.): 3.76
Calculated formation energy (eV/atom): 0.27

a = 5.876 Å, b = 5.876 Å, c = 5.876 Å
α = 60.00°, β = 60.00°, γ = 60.00°
Element x y z (fractional)
1 Tl 0.500 0.500 0.500
2 Tl 0.750 0.750 0.750
3 Zr 0.125 0.625 0.125
4 Zr 0.625 0.125 0.125
5 Zr 0.125 0.125 0.625
6 Zr 0.125 0.125 0.125

=====

[21]
Entry from Alexandria via LeMat-Bulk: an optimized crystal structure of UZnGa4 (PBE).

Summary:
D(E_F) (states/eV/f.u.): 7.15
Calculated formation energy (eV/atom): 0.08

a = 5.453 Å, b = 5.453 Å, c = 5.453 Å
α = 60.00°, β = 60.00°, γ = 60.00°
Last column: magnetic moment on the atom in μB.
Element x y z (fractional)
1 Ga 0.625 0.125 0.625  0.04
2 Ga 0.625 0.625 0.625  0.04
3 Ga 0.625 0.625 0.125  0.04
4 Ga 0.125 0.625 0.625  0.04
5 Zn 0.250 0.250 0.250  0.02
6 U 0.000 0.000 0.000  2.61

=====

[22]
Entry from Alexandria via LeMat-Bulk: an optimized crystal structure of TiSnS2 (PBE).

Summary:
E_tot (eV/f.u.): -22.26
D(E_F) (states/eV/f.u.): 2.86

a = 3.874 Å, b = 3.874 Å, c = 5.486 Å
α = 90.00°, β = 90.00°, γ = 90.00°
Last column: magnetic moment on the atom in μB.
Element x y z (fractional)
1 S 0.000 0.000 0.000  -0.02
2 S 0.500 0.500 0.500  -0.04
3 Ti 0.000 0.000 0.500  1.55
4 Sn 0.500 0.500 0.000  -0.02

=====

[23]
Entry from Alexandria via LeMat-Bulk: an optimized crystal structure of Pm2AgAs4Pd3 (PBE).

Summary:
D(E_F) (states/eV/f.u.): 4.31
Calculated formation energy (eV/atom): -0.75

a = 4.417 Å, b = 4.417 Å, c = 10.250 Å
α = 90.00°, β = 90.00°, γ = 90.00°
Element x y z (fractional)
1 As 0.500 0.000 0.640
2 As 0.000 0.000 0.000
3 As 0.500 0.500 0.000
4 As 0.000 0.500 0.360
5 Ag 0.500 0.500 0.500
6 Pd 0.000 0.000 0.500
7 Pd 0.000 0.500 0.122
8 Pd 0.500 0.000 0.878
9 Pm 0.000 0.500 0.757
10 Pm 0.500 0.000 0.243

=====

[24]
Entry from Alexandria via LeMat-Bulk: an optimized crystal structure of ReTe2Rh (PBE).

Summary:
Energy above the lowest structure with this stoichiometry (eV per formula unit): 1.460
D(E_F) (states/eV/f.u.): 2.82

a = 9.114 Å, b = 9.114 Å, c = 9.114 Å
α = 20.95°, β = 20.95°, γ = 20.95°
Last column: magnetic moment on the atom in μB.
Element x y z (fractional)
1 Re 0.500 0.500 0.500  0.00
2 Rh 0.000 0.000 0.000  0.17
3 Te 0.094 0.094 0.094  0.00
4 Te 0.906 0.906 0.906  0.00

=====

[25]
Entry from Alexandria via LeMat-Bulk: an optimized crystal structure of CaTi2IF (PBE).

Summary:
E_tot (eV/f.u.): -20.27
D(E_F) (states/eV/f.u.): 4.83

a = 5.076 Å, b = 5.579 Å, c = 5.076 Å
α = 90.00°, β = 90.00°, γ = 90.00°
Last column: magnetic moment on the atom in μB.
Element x y z (fractional)
1 I 0.000 0.000 0.000  -0.05
2 Ti 0.000 0.000 0.500  1.42
3 Ti 0.500 0.000 0.000  1.17
4 F 0.000 0.500 0.000  0.06
5 Ca 0.500 0.500 0.500  0.09

=====

[26]
Entry from Alexandria via LeMat-Bulk: an optimized crystal structure of Ag2SnBiO (PBE).

Summary:
E_tot (eV/f.u.): -17.04
D(E_F) (states/eV/f.u.): 3.61

a = 5.517 Å, b = 4.285 Å, c = 5.517 Å
α = 90.00°, β = 90.00°, γ = 90.00°
Element x y z (fractional)
1 Sn 0.500 0.500 0.500
2 O 0.000 0.500 0.000
3 Bi 0.000 0.000 0.000
4 Ag 0.000 0.000 0.500
5 Ag 0.500 0.000 0.000